Run one
Density functional theory data (PBE) for crystalline Cu2Ag at its relaxed geometry.

Cell lengths 10.8986, 2.7849, 8.5306 Å; angles 90.00, 104.96, 90.00 degrees
Closest atoms and distances in Å follow each position.
Space group Cm (No. 8)
Asymmetric unit:
Cu1 0.0000 0.0000 0.0000 x2  5 Cu 2.52-2.78, 6 Ag 2.68-2.78
Cu2 0.0054 0.0000 0.6924 x2  8 Cu 2.45-2.65, 2 Ag 2.71
Cu3 0.0100 0.0000 0.4068 x2  5 Cu 2.45-2.56, 4 Ag 2.66-2.70
Cu4 0.1788 0.5000 0.5935 x2  10 Cu 2.52-2.78, 1 Ag 2.72
Cu5 0.3392 0.0000 0.4878 x2  9 Cu 2.56-2.78, 3 Ag 2.78-2.85
Cu6 0.3479 0.0000 0.7911 x2  9 Cu 2.52-2.78, 2 Ag 2.70
Ag1 0.1578 0.5000 0.2555 x2  7 Cu 2.70-2.83, 5 Ag 2.78-3.00
Ag2 0.1819 0.5000 0.9133 x2  7 Cu 2.68-2.72, 5 Ag 2.78-3.00
Ag3 0.3633 0.0000 0.1632 x2  5 Cu 2.66-2.85, 6 Ag 2.78-2.91

***

Run two
Density functional theory data (PBE) for crystalline Cu2Ag at its relaxed geometry.

Cell lengths 4.9191, 4.9191, 12.0180 Å; angles 90.00, 90.00, 120.00 degrees
Closest atoms and distances in Å follow each position.
Space group R-3m (No. 166, hexagonal axes)
Asymmetric unit:
Cu1 0.0000 0.0000 0.0000 x3  6 Cu 2.46
Cu2 0.0000 0.5000 0.5000 x9  6 Cu 2.46
Ag1 0.0000 0.0000 0.3743 x6  12 Cu 2.87-2.89, 4 Ag 3.01-3.02

***

Run three
Density functional theory data (PBE) for crystalline Cu2Ag at its relaxed geometry.

Cell lengths 2.7360, 11.3695, 8.0964 Å; angles 90.00, 90.00, 90.00 degrees
Closest atoms and distances in Å follow each position.
Space group Imm2 (No. 44)
Asymmetric unit:
Cu1 0.0000 0.0000 0.0000 x2  7 Cu 2.50-2.74, 4 Ag 2.78
Cu2 0.0000 0.0000 0.3093 x2  11 Cu 2.50-2.74, 1 Ag 2.67
Cu3 0.0000 0.3350 0.9794 x4  5 Ag 2.63-2.78, 7 Cu 2.65-2.80
Cu4 0.0000 0.3406 0.6527 x4  9 Cu 2.59-2.80, 3 Ag 2.68-2.73
Ag1 0.0000 0.0000 0.6389 x2  6 Cu 2.66-2.92, 6 Ag 2.74-2.81
Ag2 0.0000 0.3281 0.3227 x4  8 Cu 2.63-2.78, 4 Ag 2.74-2.81

***

It comes down to run two, which is 1.3 kJ/mol of atoms more stable than the next structure.

***

Run one
Density functional theory data (PBE) for crystalline NbCuAgAu at its relaxed geometry.

Cell lengths 6.4039, 6.4039, 6.4039 Å; angles 90.00, 90.00, 90.00 degrees
Closest atoms and distances in Å follow each position.
Space group F-43m (No. 216)
Asymmetric unit:
Nb1 0.0000 0.0000 0.0000 x4  4 Cu 2.77, 4 Au 2.77
Cu1 0.2500 0.2500 0.2500 x4  4 Nb 2.77, 4 Ag 2.77
Ag1 0.0000 0.0000 0.5000 x4  4 Cu 2.77, 4 Au 2.77
Au1 0.2500 0.2500 0.7500 x4  4 Nb 2.77, 4 Ag 2.77

***

Run two
Density functional theory data (PBE) for crystalline NbCuAgAu at its relaxed geometry.

Cell lengths 6.4222, 6.4222, 6.4222 Å; angles 90.00, 90.00, 90.00 degrees
Closest atoms and distances in Å follow each position.
Space group F-43m (No. 216)
Asymmetric unit:
Nb1 0.0000 0.0000 0.0000 x4  4 Ag 2.78, 4 Au 2.78
Cu1 0.0000 0.0000 0.5000 x4  4 Ag 2.78, 4 Au 2.78
Ag1 0.2500 0.2500 0.2500 x4  4 Nb 2.78, 4 Cu 2.78
Au1 0.2500 0.2500 0.7500 x4  4 Nb 2.78, 4 Cu 2.78

***

It comes down to run one, which is 4.8 kJ/mol of atoms more stable than the next structure.

***

Run one
Density functional theory data (PBE) for crystalline GdDyNO at its relaxed geometry.

Cell lengths 4.2654, 4.2654, 7.8607 Å; angles 90.00, 90.00, 90.00 degrees
Closest atoms and distances in Å follow each position.
Space group P4/nmm (No. 129, origin choice 2)
Asymmetric unit:
Gd1 0.2500 0.7500 0.0000 x2  4 N 2.37
Dy1 0.2500 0.2500 0.3974 x2  4 O 2.28
N1 0.2500 0.2500 0.8684 x2  4 Gd 2.37
O1 0.2500 0.7500 0.5000 x2  4 Dy 2.28

***

Run two
Density functional theory data (PBE) for crystalline GdDyNO at its relaxed geometry.

Cell lengths 8.0904, 6.6499, 4.9529 Å; angles 90.00, 90.00, 90.00 degrees
Closest atoms and distances in Å follow each position.
Space group Pbcm (No. 57)
Asymmetric unit:
Gd1 0.1230 0.0697 0.2500 x4  4 O 2.25-2.48, 1 N 2.26
Dy1 0.3743 0.5836 0.2500 x4  1 O 2.26, 4 N 2.26-2.48
N1 0.3771 0.5726 0.7500 x4  1 Gd 2.26, 4 Dy 2.26-2.48
O1 0.1351 0.0919 0.7500 x4  4 Gd 2.25-2.48, 1 Dy 2.26

***

Run three
Density functional theory data (PBE) for crystalline GdDyNO at its relaxed geometry.

Cell lengths 4.4143, 4.4143, 7.9327 Å; angles 90.00, 90.00, 90.00 degrees
Closest atoms and distances in Å follow each position.
Space group P4/nmm (No. 129, origin choice 2)
Asymmetric unit:
Gd1 0.2500 0.2500 0.0941 x2  4 O 2.33
Dy1 0.2500 0.7500 0.5000 x2  4 N 2.30
N1 0.2500 0.2500 0.5797 x2  4 Dy 2.30
O1 0.2500 0.7500 0.0000 x2  4 Gd 2.33

***

It comes down to run two, which is 39.7 kJ/mol of atoms more stable than the next structure.